[1]
Below is a relaxed structure of HoZrAsO, with properties calculated at the PBE level.

Geometry as extended XYZ:
```
8
Lattice="4.1463 0.0000 0.0000 0.0000 7.5607 0.0000 0.0000 0.0000 5.0949" Properties=species:S:1:pos:R:3 pbc="T T T"
Ho 0.0000 1.0834 0.0000
Ho 0.0000 6.4773 2.5474
Zr 2.0731 1.8370 2.5494
Zr 2.0731 5.7238 0.0020
As 2.0731 2.9382 0.0026
As 2.0731 4.6225 2.5500
O 0.0000 1.2065 2.5403
O 0.0000 6.3542 5.0877
```

Its space group is No. 26.

[2]
Below is a relaxed structure of HoZrAsO, with properties calculated at the PBE level.

Geometry as extended XYZ:
```
8
Lattice="4.1539 0.0000 0.0000 0.0000 4.1539 0.0000 0.0000 0.0000 8.7602" Properties=species:S:1:pos:R:3 pbc="T T T"
Ho 1.0385 1.0385 0.9751
Ho 3.1154 3.1154 7.7851
Zr 1.0385 3.1154 4.3801
Zr 3.1154 1.0385 4.3801
As 1.0385 1.0385 6.1397
As 3.1154 3.1154 2.6204
O 1.0385 3.1154 0.0000
O 3.1154 1.0385 0.0000
```

Its space group is No. 129.

[3]
Below is a relaxed structure of HoZrAsO, with properties calculated at the PBE level.

Geometry as extended XYZ:
```
8
Lattice="3.9324 0.0000 0.0000 0.0000 7.5510 0.0000 0.0000 0.0000 5.7372" Properties=species:S:1:pos:R:3 pbc="T T T"
Ho 0.0000 1.6975 0.0000
Ho 0.0000 5.8534 2.8686
Zr 1.9662 2.9482 3.1007
Zr 1.9662 4.6027 0.2321
As 0.0000 1.1521 2.8442
As 0.0000 6.3989 5.7128
O 1.9662 2.5651 5.2536
O 1.9662 4.9858 2.3850
```

Its space group is No. 26.

[4]
Below is a relaxed structure of HoZrAsO, with properties calculated at the PBE level.

Geometry as extended XYZ:
```
8
Lattice="4.0357 0.0000 0.0000 0.0000 4.0357 0.0000 0.0000 0.0000 8.6425" Properties=species:S:1:pos:R:3 pbc="T T T"
Ho 1.0089 3.0267 0.0000
Ho 3.0267 1.0089 0.0000
Zr 1.0089 1.0089 3.2716
Zr 3.0267 3.0267 5.3709
As 1.0089 1.0089 6.6209
As 3.0267 3.0267 2.0216
O 1.0089 3.0267 4.3213
O 3.0267 1.0089 4.3213
```

Its space group is No. 129.

[5]
Below is a relaxed structure of HoAsOs, with properties calculated at the PBE level.

Geometry as extended XYZ:
```
3
Lattice="0.0000 3.1594 3.1594 3.1594 0.0000 3.1594 3.1594 3.1594 0.0000" Properties=species:S:1:pos:R:3 pbc="T T T"
Ho 0.0000 0.0000 0.0000
As 3.1594 3.1594 3.1594
Os 4.7391 4.7391 4.7391
```

Its space group is No. 216.

[6]
Below is a relaxed structure of YHo2Sc3As2Os, with properties calculated at the PBE level.

Geometry as extended XYZ:
```
9
Lattice="4.0847 0.0000 0.0000 0.0000 6.5160 3.7716 0.0000 -6.5160 3.7716" Properties=species:S:1:pos:R:3 pbc="T T T"
Y 0.0000 0.0000 0.0000
Ho 0.0000 -2.6490 4.6098
Ho 0.0000 2.6490 4.6098
Sc 2.0424 -1.5376 2.1890
Sc 2.0424 1.5376 2.1890
Sc 2.0424 0.0000 4.8619
As 2.0424 -4.3379 3.0758
As 2.0424 4.3379 3.0758
Os 0.0000 0.0000 3.0986
```

Its space group is No. 38.

[7]
Below is a relaxed structure of Y3HoSc2As2Os, with properties calculated at the PBE level.

Geometry as extended XYZ:
```
9
Lattice="4.1125 0.0000 0.0000 0.0000 6.6278 3.8388 0.0000 -6.6278 3.8388" Properties=species:S:1:pos:R:3 pbc="T T T"
Y 0.0000 0.0000 0.0000
Y 0.0000 -2.7360 4.6602
Y 0.0000 2.7360 4.6602
Ho 2.0563 0.0000 4.8994
Sc 2.0563 -1.5962 2.1759
Sc 2.0563 1.5962 2.1759
As 2.0563 -4.3836 3.1283
As 2.0563 4.3836 3.1283
Os 0.0000 0.0000 2.9542
```

Its space group is No. 38.

[8]
Below is a relaxed structure of Y2HoTm3As2Os, with properties calculated at the PBE level.

Geometry as extended XYZ:
```
9
Lattice="4.1486 0.0000 0.0000 0.0000 6.7865 3.8962 0.0000 -6.7865 3.8962" Properties=species:S:1:pos:R:3 pbc="T T T"
Y 0.0000 -4.0386 3.8962
Y 0.0000 4.0386 3.8962
Ho 0.0000 0.0000 3.0705
Tm 2.0743 0.0000 0.3108
Tm 2.0743 -1.6521 5.2606
Tm 2.0743 1.6521 5.2606
As 2.0743 -2.2610 2.3155
As 2.0743 2.2610 2.3155
Os 0.0000 0.0000 6.1860
```

Its space group is No. 38.

[9]
Below is a relaxed structure of Y3Ho2TmAs2Os, with properties calculated at the PBE level.

Geometry as extended XYZ:
```
9
Lattice="4.1519 0.0000 0.0000 0.0000 6.7928 3.9373 0.0000 -6.7928 3.9373" Properties=species:S:1:pos:R:3 pbc="T T T"
Y 0.0000 0.0000 0.0000
Y 0.0000 -2.7494 3.0743
Y 0.0000 2.7494 3.0743
Ho 2.0760 -1.6529 5.6286
Ho 2.0760 1.6529 5.6286
Tm 2.0760 0.0000 2.7455
As 2.0760 -4.5414 4.6747
As 2.0760 4.5414 4.6747
Os 0.0000 0.0000 4.6357
```

Its space group is No. 38.

[10]
Below is a relaxed structure of HoAsPbSe3, with properties calculated at the PBE level.

Geometry as extended XYZ:
```
12
Lattice="2.1575 -7.7040 0.0000 2.1575 7.7040 0.0000 0.0000 0.0000 9.5004" Properties=species:S:1:pos:R:3 pbc="T T T"
Ho 0.0000 0.0000 0.0000
Ho 0.0000 0.0000 4.7502
As 2.1575 0.4535 7.1253
As 2.1575 -0.4535 2.3751
Pb 2.1575 3.9544 2.3751
Pb 2.1575 -3.9544 7.1253
Se 2.1575 5.6646 7.1253
Se 2.1575 1.9320 5.1311
Se 2.1575 1.9320 9.1196
Se 2.1575 -1.9320 0.3808
Se 2.1575 -1.9320 4.3694
Se 2.1575 -5.6646 2.3751
```

Its space group is No. 63.

[11]
Below is a relaxed structure of HoTe3AsPb, with properties calculated at the PBE level.

Geometry as extended XYZ:
```
12
Lattice="2.2276 -8.0947 0.0000 2.2276 8.0947 0.0000 0.0000 0.0000 10.2279" Properties=species:S:1:pos:R:3 pbc="T T T"
Ho 0.0000 0.0000 0.0000
Ho 0.0000 0.0000 5.1140
Te 2.2276 6.0348 7.6709
Te 2.2276 2.1393 5.5309
Te 2.2276 2.1393 9.8110
Te 2.2276 -2.1393 0.4169
Te 2.2276 -2.1393 4.6971
Te 2.2276 -6.0348 2.5570
As 2.2276 0.4803 7.6709
As 2.2276 -0.4803 2.5570
Pb 2.2276 4.2339 2.5570
Pb 2.2276 -4.2339 7.6709
```

Its space group is No. 63.

[12]
Below is a relaxed structure of HoAsPd, with properties calculated at the PBE level.

Geometry as extended XYZ:
```
12
Lattice="6.2373 0.0000 0.0000 0.0000 3.9192 0.0000 0.0000 0.0000 10.0723" Properties=species:S:1:pos:R:3 pbc="T T T"
Ho 1.0680 0.9798 1.3834
Ho 2.0506 2.9394 6.4195
Ho 4.1867 0.9798 3.6528
Ho 5.1693 2.9394 8.6889
As 1.0868 0.9798 8.4837
As 2.0319 2.9394 3.4475
As 4.2054 0.9798 6.6248
As 5.1505 2.9394 1.5886
Pd 0.7703 0.9798 4.4776
Pd 2.3484 2.9394 9.5137
Pd 3.8889 0.9798 0.5586
Pd 5.4670 2.9394 5.5947
```

Its space group is No. 62.

Number 1: total DFT energy (no corrections) -7.44 eV per atom. Number 2: total DFT energy (no corrections) -7.64 eV per atom. Number 3: total DFT energy (no corrections) -7.44 eV per atom. Number 4: total DFT energy (no corrections) -7.13 eV per atom. Number 5: total DFT energy (no corrections) -6.95 eV per atom. Number 6: total DFT energy (no corrections) -6.98 eV per atom. Number 7: total DFT energy (no corrections) -7.18 eV per atom. Number 8: total DFT energy (no corrections) -6.50 eV per atom. Number 9: total DFT energy (no corrections) -6.72 eV per atom. Number 10: total DFT energy (no corrections) -4.61 eV per atom. Number 11: total DFT energy (no corrections) -4.20 eV per atom. Number 12: total DFT energy (no corrections) -5.80 eV per atom.